DFT (PBE-GGA) results for Y2MnTcPb after structural relaxation.

The structure belongs to space group P4/mmm (No. 123); the cell edges are 5.442, 5.442 and 4.480 Å and the angles 90.00°, 90.00° and 90.00°. The distinct sites, in fractional coordinates, are Y at (0.000, 0.500, 0.000), Mn at (0.000, 0.000, 0.500), Tc at (0.000, 0.000, 0.000) and Pb at (0.500, 0.500, 0.500).

The calculation puts the total moment at 2.4 μB/cell. The calculation puts the formation energy from the elements at 0.281 eV/atom.